Material: Ce3TcPb
Method: DFT, PBE
State: relaxed

## Properties
ΔH_f (0 K) = -0.199 eV/atom
magnetic moment = 1.77 μB per formula unit
space-group type = No. 2

Cell: 5.8916 7.0044 8.2081 Å, 111.10 82.65 122.05°
Site moments in Bohr magnetons follow the coordinates.
Element x y z (fractional)
Ce (0.4884, 0.2023, 0.9044)  0.59
Ce (0.5116, 0.7977, 0.0956)  0.59
Ce (0.9278, 0.7893, 0.7565)  0.40
Ce (0.0722, 0.2107, 0.2435)  0.40
Ce (0.9324, 0.6666, 0.3226)  0.51
Ce (0.0676, 0.3334, 0.6774)  0.51
Tc (0.9894, 0.7049, 0.0164)  -0.14
Tc (0.0106, 0.2951, 0.9836)  -0.14
Pb (0.5213, 0.2221, 0.4732)  -0.01
Pb (0.4787, 0.7779, 0.5268)  -0.01